# Tm3TeN | the Alexandria database | GGA-PBE | optimized geometry
data_Tm3TeN
_chemical_formula_sum 'Tm6 Te2 N2'
_cell_length_a 3.634
_cell_length_b 6.116
_cell_length_c 10.735
_cell_angle_alpha 90.00
_cell_angle_beta 99.75
_cell_angle_gamma 90.00
_space_group_name_H-M_alt 'P 1'
_space_group_IT_number 1
loop_
_space_group_symop_operation_xyz
'x,y,z'
loop_
_atom_site_label
_atom_site_type_symbol
_atom_site_fract_x
_atom_site_fract_y
_atom_site_fract_z
Tm1 Tm 0.943 0.376 0.885
Tm2 Tm 0.196 0.036 0.392
Tm3 Tm 0.419 0.836 0.837
N1 N 0.627 0.010 0.255
Te1 Te 0.185 0.537 0.369
Te2 Te 0.815 0.037 0.631
Tm4 Tm 0.804 0.536 0.608
N2 N 0.373 0.510 0.745
Tm5 Tm 0.581 0.336 0.163
Tm6 Tm 0.057 0.876 0.115
# - E_form (uncorrected): -1040 meV per atom
# - Space group: Cmc2_1
# - Mass density: 9.16 g cm⁻³